AlNi2SbO6 | Alexandria | PBE+U | relaxed; DFT total energy = -0.405 Ry/atom; space-group type = P4mm
1.0
3.959 0.000 0.000
0.000 5.439 0.000
0.000 0.000 5.439
O Ni Al Sb
6 2 1 1
direct
0.731 0.754 0.754
0.731 0.246 0.754
0.731 0.754 0.246
0.731 0.246 0.246
0.184 0.000 0.000
0.172 0.500 0.500
0.938 0.000 0.500
0.938 0.500 0.000
0.639 0.000 0.000
0.652 0.500 0.500